Record 1
DFT (PBE with a Hubbard U) results for crystalline CaCe3V4O16 at its relaxed geometry.

Cell: 7.3439 7.3439 6.4931 Å, 90.00 90.00 90.00°
With the nearest neighbours (Å) after each atom.
Element x y z (fractional)
Ca 0.5000 0.5000 0.5000  8 O 2.41-2.56
Ce 0.0000 0.0000 0.0000  8 O 2.38-2.50
Ce 0.0000 0.5000 0.7513  8 O 2.36-2.51
Ce 0.5000 0.0000 0.2487  8 O 2.36-2.51
V 0.5000 0.0000 0.7475  4 O 1.72-1.77
V 0.0000 0.5000 0.2525  4 O 1.72-1.77
V 0.0000 0.0000 0.5000  4 O 1.74
V 0.5000 0.5000 0.0000  4 O 1.74
O 0.3161 0.0000 0.9228  1 V 1.77
O 0.8214 0.5000 0.4245  1 V 1.72
O 0.0000 0.1814 0.6734  1 V 1.74
O 0.5000 0.6866 0.1662  1 V 1.74
O 0.0000 0.8186 0.6734  1 V 1.74
O 0.5000 0.3134 0.1662  1 V 1.74
O 0.6839 0.0000 0.9228  1 V 1.77
O 0.1786 0.5000 0.4245  1 V 1.72
O 0.1814 0.0000 0.3266  1 V 1.74
O 0.6866 0.5000 0.8338  1 V 1.74
O 0.5000 0.8214 0.5755  1 V 1.72
O 0.0000 0.3161 0.0772  1 V 1.77
O 0.5000 0.1786 0.5755  1 V 1.72
O 0.0000 0.6839 0.0772  1 V 1.77
O 0.8186 0.0000 0.3266  1 V 1.74
O 0.3134 0.5000 0.8338  1 V 1.74

Summary:
Spin magnetization ... 2.1 μB/cell
Uncorrected energy ... -192.32 eV for the cell shown
D(E_F) ... 15.772 states/eV/cell
Space-group type ... P-4m2, No. 115

***

Record 2
DFT (PBE with a Hubbard U) results for crystalline Ca2CeVO6 at its relaxed geometry.

Cell: 5.6121 5.8380 8.0250 Å, 90.00 90.02 90.00°
With the nearest neighbours (Å) after each atom.
Element x y z (fractional)
Ca 0.0189 0.9472 0.2537  6 O 2.37-2.66
Ca 0.5189 0.5528 0.7537  6 O 2.37-2.66
Ca 0.9811 0.0528 0.7463  6 O 2.37-2.66
Ca 0.4811 0.4472 0.2463  6 O 2.37-2.66
Ce 0.5000 0.0000 0.0000  6 O 2.21-2.31
Ce 0.0000 0.5000 0.5000  6 O 2.21-2.31
V 0.5000 0.0000 0.5000  6 O 1.92-2.03
V 0.0000 0.5000 0.0000  6 O 1.92-2.03
O 0.2858 0.6917 0.0535  1 V 2.00, 1 Ce 2.21
O 0.7858 0.8083 0.5535  1 V 2.00, 1 Ce 2.21
O 0.7142 0.3083 0.9465  1 V 2.00, 1 Ce 2.21
O 0.2142 0.1917 0.4465  1 V 2.00, 1 Ce 2.21
O 0.3122 0.7160 0.4341  1 V 2.03, 1 Ce 2.22
O 0.8122 0.7840 0.9341  1 V 2.03, 1 Ce 2.22
O 0.6878 0.2840 0.5659  1 V 2.03, 1 Ce 2.22
O 0.1878 0.2160 0.0659  1 V 2.03, 1 Ce 2.22
O 0.8903 0.5444 0.2243  1 V 1.92
O 0.3903 0.9556 0.7243  1 V 1.92
O 0.1097 0.4556 0.7757  1 V 1.92
O 0.6097 0.0444 0.2757  1 V 1.92

Summary:
Spin magnetization ... 2.0 μB/cell
Uncorrected energy ... -150.70 eV for the cell shown
Space-group type ... P2_1/c, No. 14

***

Record 3
DFT (PBE with a Hubbard U) results for crystalline CaCeV2O8 at its relaxed geometry.

Cell: 6.0760 6.0760 6.0760 Å, 106.22 106.22 116.19°
With the nearest neighbours (Å) after each atom.
Element x y z (fractional)
Ca 0.0000 0.0000 0.0000  8 O 2.39-2.54
Ce 0.2500 0.7500 0.5000  8 O 2.34-2.44
V 0.7500 0.2500 0.5000  4 O 1.74
V 0.5000 0.5000 0.0000  4 O 1.74
O 0.9291 0.6081 0.6790  1 V 1.74
O 0.4791 0.6671 0.8120  1 V 1.74
O 0.8550 0.6671 0.1880  1 V 1.74
O 0.9291 0.2502 0.3210  1 V 1.74
O 0.3329 0.1450 0.8120  1 V 1.74
O 0.7498 0.0709 0.6790  1 V 1.74
O 0.3919 0.0709 0.3210  1 V 1.74
O 0.3329 0.5209 0.1880  1 V 1.74

Summary:
Spin magnetization ... 0.0 μB/cell
Uncorrected energy ... -93.25 eV for the cell shown
D(E_F) ... 0.000 states/eV/cell
Space-group type ... I-4m2, No. 119
Distance to the lowest polymorph of the same formula ... 0.0 meV per atom

***

Record 4
DFT (PBE with a Hubbard U) results for crystalline CaCeWO6 at its relaxed geometry.

Cell: 5.6507 5.6507 9.6195 Å, 90.00 90.00 120.00°
With the nearest neighbours (Å) after each atom.
Element x y z (fractional)
Ca 0.0000 0.0000 0.0000  6 O 2.44
Ca 0.0000 0.0000 0.5000  6 O 2.44
Ce 0.3333 0.6667 0.2500  6 O 2.26
Ce 0.6667 0.3333 0.7500  6 O 2.26
W 0.6667 0.3333 0.2500  6 O 1.96
W 0.3333 0.6667 0.7500  6 O 1.96
O 0.6589 0.6196 0.1388  1 W 1.96
O 0.9607 0.3411 0.1388  1 W 1.96
O 0.3411 0.9607 0.6388  1 W 1.96
O 0.0393 0.6589 0.8612  1 W 1.96
O 0.3804 0.3411 0.3612  1 W 1.96
O 0.9607 0.6196 0.3612  1 W 1.96
O 0.6196 0.9607 0.8612  1 W 1.96
O 0.6589 0.0393 0.3612  1 W 1.96
O 0.0393 0.3804 0.6388  1 W 1.96
O 0.3804 0.0393 0.1388  1 W 1.96
O 0.6196 0.6589 0.6388  1 W 1.96
O 0.3411 0.3804 0.8612  1 W 1.96

Summary:
Spin magnetization ... 0.0 μB/cell
Uncorrected energy ... -139.08 eV for the cell shown
D(E_F) ... 0.000 states/eV/cell
Space-group type ... P-31c, No. 163

***

The highest uncorrected energy belongs to which entry? CaCeV2O8